DFT (PBE-GGA) results for a geometry-optimized NaSbAu2O structure.

Summary:
Space-group type: P4/mmm, No. 123
Raw formation energy (eV/atom): 0.105
Total moment (μB per formula unit): 0.00
ρ (Mg/m³): 9.0
DFT total energy (eV per cell): -16.43

Cell lengths 4.679, 4.679, 4.676 Å; angles 90.00, 90.00, 90.00 degrees
Fractional positions:
Na1 0.000 0.000 0.000
Sb1 0.500 0.500 0.000
Au1 0.000 0.500 0.500
Au2 0.500 0.000 0.500
O1 0.500 0.500 0.500